Below is crystalline Hf3Be2Ir5 at its relaxed geometry, with properties calculated at the PBE level.

Formation enthalpy at 0 K   -0.9539 eV/atom
Uncorrected energy   -9.116 eV/atom
Symmetry   P4/mbm

The structure in POSCAR format:
```
Hf3Be2Ir5
1.0
9.443 0.000 0.000
0.000 9.443 0.000
0.000 0.000 3.353
Hf Be Ir
6 4 10
direct
0.000 0.000 0.000
0.175 0.325 0.000
0.325 0.825 0.000
0.500 0.500 0.000
0.675 0.175 0.000
0.825 0.675 0.000
0.119 0.619 0.000
0.381 0.119 0.000
0.619 0.881 0.000
0.881 0.381 0.000
0.000 0.500 0.500
0.073 0.784 0.500
0.216 0.073 0.500
0.284 0.573 0.500
0.427 0.284 0.500
0.500 0.000 0.500
0.573 0.716 0.500
0.716 0.427 0.500
0.784 0.927 0.500
0.927 0.216 0.500
```


Below is crystalline HfBeIr at its relaxed geometry, with properties calculated at the PBE level.

Formation enthalpy at 0 K   -0.1140 eV/atom
ΔE to the lowest computed polymorph   667 meV per atom
Uncorrected energy   -7.628 eV/atom
Symmetry   P4_12_12

The structure in POSCAR format:
```
HfBeIr
1.0
6.551 0.000 0.000
0.000 6.551 0.000
0.000 0.000 5.079
Hf Be Ir
4 4 4
direct
0.203 0.203 0.000
0.297 0.703 0.250
0.703 0.297 0.750
0.797 0.797 0.500
0.091 0.091 0.500
0.409 0.591 0.750
0.591 0.409 0.250
0.909 0.909 0.000
0.167 0.833 0.750
0.333 0.333 0.500
0.667 0.667 0.000
0.833 0.167 0.250
```


Below is crystalline HfBeIr at its relaxed geometry, with properties calculated at the PBE level.

Formation enthalpy at 0 K   -0.7813 eV/atom
ΔE to the lowest computed polymorph   0 meV per atom
Uncorrected energy   -8.295 eV/atom
Symmetry   Pnma

The structure in POSCAR format:
```
HfBeIr
1.0
6.285 0.000 0.000
0.000 3.762 0.000
0.000 0.000 7.431
Hf Be Ir
4 4 4
direct
0.027 0.250 0.186
0.473 0.750 0.686
0.527 0.250 0.314
0.973 0.750 0.814
0.208 0.750 0.384
0.292 0.250 0.884
0.708 0.750 0.116
0.792 0.250 0.616
0.174 0.250 0.565
0.326 0.750 0.065
0.674 0.250 0.935
0.826 0.750 0.435
```


Below is crystalline Hf2Be9Ir at its relaxed geometry, with properties calculated at the PBE level.

Formation enthalpy at 0 K   -0.1307 eV/atom
Uncorrected energy   -5.323 eV/atom
Symmetry   R-3m

The structure in POSCAR format:
```
Hf2Be9Ir
1.0
2.266 1.308 7.185
-2.266 1.308 7.185
0.000 -2.617 7.185
Hf Be Ir
2 9 1
direct
0.143 0.143 0.143
0.857 0.857 0.857
0.082 0.576 0.576
0.334 0.334 0.334
0.424 0.424 0.918
0.424 0.918 0.424
0.500 0.500 0.500
0.576 0.082 0.576
0.576 0.576 0.082
0.666 0.666 0.666
0.918 0.424 0.424
0.000 0.000 0.000
```


Below is crystalline HfBe2Ir at its relaxed geometry, with properties calculated at the PBE level.

Formation enthalpy at 0 K   -0.0462 eV/atom
ΔE to the lowest computed polymorph   478 meV per atom
Uncorrected energy   -6.613 eV/atom
Symmetry   I-42d

The structure in POSCAR format:
```
HfBe2Ir
1.0
-1.963 1.963 8.055
1.963 -1.963 8.055
1.963 1.963 -8.055
Hf Be Ir
2 4 2
direct
0.000 0.000 0.000
0.750 0.250 0.500
0.373 0.625 0.248
0.375 0.623 0.748
0.377 0.125 0.752
0.875 0.627 0.252
0.250 0.750 0.500
0.500 0.500 0.000
```


Below is crystalline Hf2Be3Ir2 at its relaxed geometry, with properties calculated at the PBE level.

Formation enthalpy at 0 K   -0.5917 eV/atom
Uncorrected energy   -7.564 eV/atom
Symmetry   C2/m

The structure in POSCAR format:
```
Hf2Be3Ir2
1.0
4.867 -1.933 0.000
4.867 1.933 0.000
-2.694 0.000 5.140
Hf Be Ir
2 3 2
direct
0.146 0.146 0.276
0.854 0.854 0.724
0.416 0.416 0.081
0.500 0.500 0.500
0.584 0.584 0.919
0.158 0.158 0.780
0.842 0.842 0.220
```


Below is crystalline Hf2BeIr at its relaxed geometry, with properties calculated at the PBE level.

Formation enthalpy at 0 K   -0.5759 eV/atom
ΔE to the lowest computed polymorph   0 meV per atom
Uncorrected energy   -8.699 eV/atom
Symmetry   P2_1/m

The structure in POSCAR format:
```
Hf2BeIr
1.0
5.197 0.000 0.000
0.000 4.147 0.000
-1.805 0.000 6.365
Hf Be Ir
4 2 2
direct
0.197 0.250 0.432
0.224 0.250 0.939
0.776 0.750 0.061
0.803 0.750 0.568
0.359 0.750 0.702
0.641 0.250 0.298
0.339 0.750 0.223
0.661 0.250 0.777
```


Below is crystalline HfBe2Ir2 at its relaxed geometry, with properties calculated at the PBE level.

Formation enthalpy at 0 K   -0.5073 eV/atom
ΔE to the lowest computed polymorph   178 meV per atom
Uncorrected energy   -7.533 eV/atom
Symmetry   P4/mbm

The structure in POSCAR format:
```
HfBe2Ir2
1.0
6.903 0.000 0.000
0.000 6.903 0.000
0.000 0.000 2.839
Hf Be Ir
2 4 4
direct
0.000 0.000 0.000
0.500 0.500 0.000
0.147 0.353 0.500
0.353 0.853 0.500
0.647 0.147 0.500
0.853 0.647 0.500
0.146 0.646 0.000
0.354 0.146 0.000
0.646 0.854 0.000
0.854 0.354 0.000
```


Below is crystalline HfBe2Ir2 at its relaxed geometry, with properties calculated at the PBE level.

Formation enthalpy at 0 K   -0.5876 eV/atom
ΔE to the lowest computed polymorph   98 meV per atom
Uncorrected energy   -7.613 eV/atom
Symmetry   I4/mmm

The structure in POSCAR format:
```
HfBe2Ir2
1.0
-1.609 1.609 6.672
1.609 -1.609 6.672
1.609 1.609 -6.672
Hf Be Ir
1 2 2
direct
0.000 0.000 0.000
0.250 0.750 0.500
0.750 0.250 0.500
0.383 0.383 0.000
0.617 0.617 0.000
```


Below is crystalline HfBe3Ir at its relaxed geometry, with properties calculated at the PBE level.

Formation enthalpy at 0 K   2.1342 eV/atom
ΔE to the lowest computed polymorph   2127 meV per atom
Uncorrected energy   -3.864 eV/atom
Symmetry   Pm-3m

The structure in POSCAR format:
```
HfBe3Ir
1.0
4.349 0.000 0.000
0.000 4.349 0.000
0.000 0.000 4.349
Hf Be Ir
1 3 1
direct
0.000 0.000 0.000
0.000 0.000 0.500
0.000 0.500 0.000
0.500 0.000 0.000
0.500 0.500 0.500
```


Below is crystalline HfBeIr at its relaxed geometry, with properties calculated at the PBE level.

Formation enthalpy at 0 K   -0.6306 eV/atom
ΔE to the lowest computed polymorph   151 meV per atom
Uncorrected energy   -8.144 eV/atom
Symmetry   P-6m2

The structure in POSCAR format:
```
HfBeIr
1.0
4.114 0.000 0.000
-2.057 3.563 0.000
0.000 0.000 3.096
Hf Be Ir
1 1 1
direct
0.000 0.000 0.000
0.333 0.667 0.500
0.667 0.333 0.500
```


Below is crystalline HfBe4Ir at its relaxed geometry, with properties calculated at the PBE level.

Formation enthalpy at 0 K   -0.4989 eV/atom
Uncorrected energy   -6.119 eV/atom
Symmetry   F-43m

The structure in POSCAR format:
```
HfBe4Ir
1.0
0.000 3.202 3.202
3.202 0.000 3.202
3.202 3.202 0.000
Hf Be Ir
1 4 1
direct
0.000 0.000 0.000
0.123 0.626 0.626
0.626 0.123 0.626
0.626 0.626 0.123
0.626 0.626 0.626
0.250 0.250 0.250
```